First-principles (GGA+U) data for a relaxed structure of Li4Cr3FeO8, as listed in Alexandria via LeMat-Bulk.

Electronic total energy (eV/atom): -6.61

Cell and atoms, written as CIF:
```
data_Li4Cr3FeO8
_space_group_name_H-M_alt 'R -3 m'
_space_group_IT_number 166
_space_group_name_Hall '-R 3 2"'
_cell_length_a 5.8980
_cell_length_b 5.8980
_cell_length_c 14.4926
_cell_angle_alpha 90.00
_cell_angle_beta 90.00
_cell_angle_gamma 120.00
loop_
_atom_site_label
_atom_site_fract_x
_atom_site_fract_y
_atom_site_fract_z
Li1 0.0000 0.0000 0.0000
Li2 0.0000 0.5000 0.0000
Cr1 0.0000 0.5000 0.5000
Fe1 0.0000 0.0000 0.5000
O1 0.0000 0.0000 0.2421
O2 0.0039 0.5020 0.2414
```